First-principles (GGA-PBE) data for an optimized crystal structure of MgCd2In, as listed in Alexandria.

- Mass density: 6.55 g/cm3
- Total magnetic moment: 0.0 μB per cell
- Crystal system: monoclinic
- Formation enthalpy at 0 K: -0.051 eV/atom

Geometry as CIF:
```
data_MgCd2In
_chemical_formula_sum 'Mg2 Cd4 In2'
_space_group_name_H-M_alt 'C 1 2/m 1'
_space_group_IT_number 12
_cell_length_a 10.8784
_cell_length_b 3.2000
_cell_length_c 5.3521
_cell_angle_alpha 90.00
_cell_angle_beta 97.89
_cell_angle_gamma 90.00
loop_
_space_group_symop_operation_xyz
'x,y,z'
'-x,-y,-z'
'-x,y,-z'
'x,-y,z'
'x+1/2,y+1/2,z'
'-x+1/2,-y+1/2,-z'
'-x+1/2,y+1/2,-z'
'x+1/2,-y+1/2,z'
loop_
_atom_site_label
_atom_site_fract_x
_atom_site_fract_y
_atom_site_fract_z
Mg1 0.0000 0.0000 0.0000
Cd1 0.2428 0.5000 0.2426
In1 0.0000 0.5000 0.5000
```


First-principles (GGA-PBE) data for an optimized crystal structure of GaNi5P2, as listed in Alexandria.

- Mass density: 7.37 g/cm3
- Total magnetic moment: 0.0 μB per cell
- Crystal system: orthorhombic
- Formation enthalpy at 0 K: -0.389 eV/atom

Geometry as CIF:
```
data_GaNi5P2
_chemical_formula_sum 'Ga2 Ni10 P4'
_space_group_name_H-M_alt 'I m m m'
_space_group_IT_number 71
_space_group_name_Hall '-I 2 2'
_cell_length_a 2.8541
_cell_length_b 6.0373
_cell_length_c 11.1205
_cell_angle_alpha 90.00
_cell_angle_beta 90.00
_cell_angle_gamma 90.00
loop_
_atom_site_label
_atom_site_fract_x
_atom_site_fract_y
_atom_site_fract_z
Ga1 0.0000 0.0000 0.0000
Ni1 0.0000 0.2772 0.3540
Ni2 0.0000 0.5000 0.0000
P1 0.0000 0.5000 0.1961
```


First-principles (GGA-PBE) data for an optimized crystal structure of PbSe7, as listed in Alexandria.

- Mass density: 7.09 g/cm3
- Total magnetic moment: 0.0 μB per cell
- Formation energy (no corrections): 0.4997 eV/atom
- Crystal system: cubic

Geometry as CIF:
```
data_PbSe7
_chemical_formula_sum 'Pb4 Se28'
_space_group_name_H-M_alt 'F m -3 m'
_space_group_IT_number 225
_space_group_name_Hall '-F 4 2 3'
_cell_length_a 8.9278
_cell_length_b 8.9278
_cell_length_c 8.9278
_cell_angle_alpha 90.00
_cell_angle_beta 90.00
_cell_angle_gamma 90.00
loop_
_atom_site_label
_atom_site_fract_x
_atom_site_fract_y
_atom_site_fract_z
Pb1 0.0000 0.0000 0.0000
Se1 0.0000 0.0000 0.5000
Se2 0.0000 0.2500 0.2500
```


First-principles (GGA-PBE) data for an optimized crystal structure of PaTaAl, as listed in Alexandria.

- Mass density: 12.18 g/cm3
- Total magnetic moment: 0.0 μB per cell
- Crystal system: tetragonal
- Formation enthalpy at 0 K: -0.043 eV/atom

Geometry as CIF:
```
data_PaTaAl
_chemical_formula_sum 'Pa2 Ta2 Al2'
_space_group_name_H-M_alt 'I 4 m m'
_space_group_IT_number 107
_space_group_name_Hall 'I 4 -2'
_cell_length_a 2.9605
_cell_length_b 2.9605
_cell_length_c 13.6582
_cell_angle_alpha 90.00
_cell_angle_beta 90.00
_cell_angle_gamma 90.00
loop_
_atom_site_label
_atom_site_fract_x
_atom_site_fract_y
_atom_site_fract_z
Pa1 0.0000 0.0000 0.0000
Ta1 0.0000 0.0000 0.6810
Al1 0.0000 0.0000 0.3252
```